Below is crystalline Ca2Pm3YTe6 at its relaxed geometry, with properties calculated at the GGA-PBE level. Values from VASP.

* DFT total energy: -5.089 eV per atom
* ΔE_f (raw): -1.458 eV per atom

Structure (Quantum ESPRESSO input):
```
&SYSTEM
  ibrav = 0, nat = 12, ntyp = 4
/
ATOMIC_SPECIES
Ca 40.08 Ca.upf
Pm 145.00 Pm.upf
Y 88.91 Y.upf
Te 127.60 Te.upf
ATOMIC_POSITIONS crystal
Ca 0.1661 0.8339 0.0000
Ca 0.8339 0.1661 0.0000
Pm 0.0000 0.0000 0.5000
Pm 0.3281 0.6719 0.5000
Pm 0.6719 0.3281 0.5000
Y 0.5000 0.5000 0.0000
Te 0.0890 0.4195 0.7583
Te 0.2528 0.2528 0.2486
Te 0.4195 0.0890 0.7583
Te 0.5805 0.9110 0.2417
Te 0.7472 0.7472 0.7514
Te 0.9110 0.5805 0.2417
CELL_PARAMETERS angstrom
3.8280 -6.6350 0.0000
3.8280 6.6350 0.0000
-2.5632 0.0000 7.3933
```